[1]
Below is a relaxed LaNdBi2Se2 crystal, with properties calculated at the PBE level.

The structure in POSCAR format:
```
LaNdBi2Se2
1.0
-4.230 0.932 -0.557
-0.630 -0.284 4.312
1.876 9.037 0.869
Bi La Nd Se
2 1 1 2
direct
0.500 0.000 0.999
0.000 0.500 0.999
0.500 0.500 0.305
0.000 0.000 0.696
0.000 0.000 0.370
0.500 0.500 0.631
```

- electronic total energy (eV/cell) = -32.88
- M_tot (μB per formula unit) = 0.00

[2]
Below is a relaxed ScCoSnW crystal, with properties calculated at the PBE level.

The structure in POSCAR format:
```
ScCoSnW
1.0
0.000 3.236 3.236
3.236 0.000 3.236
3.236 3.236 0.000
Co Sc Sn W
1 1 1 1
direct
0.750 0.750 0.750
0.500 0.500 0.500
0.000 0.000 0.000
0.250 0.250 0.250
```

- offset from the most stable computed form (eV per formula unit) = 0.00
- M_tot (μB per formula unit) = 1.85

[3]
Below is a relaxed W4AuC2S crystal, with properties calculated at the PBE level.

The structure in POSCAR format:
```
W4AuC2S
1.0
-0.585 -2.967 -0.839
0.983 0.643 2.911
-12.182 1.321 3.822
Au C S W
1 2 1 4
direct
0.667 0.333 0.000
0.333 0.667 0.261
0.333 0.667 0.739
0.000 0.000 0.500
0.000 0.000 0.177
0.667 0.333 0.351
0.667 0.333 0.649
0.000 0.000 0.823
```

- electronic total energy (eV/cell) = -76.26
- M_tot (μB per formula unit) = 0.00

[4]
Below is a relaxed Be2Cd crystal, with properties calculated at the PBE level.

The structure in POSCAR format:
```
Be2Cd
1.0
3.787 2.186 6.184
-3.787 2.186 6.184
0.000 -4.373 6.184
Be Cd
4 2
direct
0.875 0.375 0.375
0.375 0.875 0.375
0.375 0.375 0.375
0.375 0.375 0.875
0.250 0.250 0.250
0.500 0.500 0.500
```

- offset from the most stable computed form (eV per formula unit) = 4.69

[5]
Below is a relaxed K3Ir crystal, with properties calculated at the PBE level.

The structure in POSCAR format:
```
K3Ir
1.0
1.795 -6.443 -7.355
5.457 -6.543 5.122
-9.046 3.892 -1.360
Ir K
3 9
direct
0.000 0.000 0.000
0.157 0.157 0.000
0.843 0.843 0.000
0.500 0.500 0.000
0.435 0.139 0.297
0.158 0.861 0.297
0.753 0.385 0.368
0.982 0.615 0.368
0.018 0.385 0.632
0.247 0.615 0.632
0.842 0.139 0.703
0.565 0.861 0.703
```

- offset from the most stable computed form (eV per formula unit) = 0.00
- M_tot (μB per formula unit) = 0.00

[6]
Below is a relaxed MgFeNiSe3 crystal, with properties calculated at the PBE level.

The structure in POSCAR format:
```
MgFeNiSe3
1.0
6.294 -1.775 0.000
6.294 1.775 0.000
0.000 0.000 9.409
Fe Mg Ni Se
2 2 2 6
direct
0.000 0.000 0.000
0.000 0.000 0.500
0.772 0.772 0.250
0.228 0.228 0.750
0.462 0.462 0.250
0.538 0.538 0.750
0.357 0.357 0.046
0.084 0.084 0.250
0.357 0.357 0.454
0.643 0.643 0.546
0.916 0.916 0.750
0.643 0.643 0.954
```

- electronic total energy (eV/cell) = -56.15
- M_tot (μB per formula unit) = 2.69

[7]
Below is a relaxed LuCl3 crystal, with properties calculated at the PBE level.

The structure in POSCAR format:
```
LuCl3
1.0
-1.909 -2.413 -5.870
3.665 -8.532 2.315
-5.251 -1.612 2.371
Cl Lu
12 4
direct
0.048 0.250 0.173
0.338 0.579 0.187
0.338 0.921 0.187
0.838 0.579 0.313
0.838 0.921 0.313
0.548 0.250 0.327
0.452 0.750 0.673
0.162 0.079 0.687
0.162 0.421 0.687
0.662 0.079 0.813
0.662 0.421 0.813
0.952 0.750 0.827
0.622 0.750 0.064
0.122 0.750 0.436
0.878 0.250 0.564
0.378 0.250 0.936
```

- electronic total energy (eV/cell) = -74.85
- M_tot (μB per formula unit) = 0.00

[8]
Below is a relaxed Al2Mo5W crystal, with properties calculated at the PBE level.

The structure in POSCAR format:
```
Al2Mo5W
1.0
4.969 0.000 0.000
0.000 4.969 0.000
0.000 0.000 5.002
Al Mo W
2 5 1
direct
0.500 0.000 0.250
0.000 0.500 0.750
0.250 0.500 0.249
0.750 0.500 0.249
0.000 0.000 0.500
0.500 0.250 0.751
0.500 0.750 0.751
0.000 0.000 0.000
```

- electronic total energy (eV/cell) = -76.36
- M_tot (μB per formula unit) = 0.00